No. 1
## Pr8DyHo5 (PBE)

Data for Pr8DyHo5 after structural relaxation.

Properties
For the formation energy, the calculation gives 2.4 eV per formula unit. As for the symmetry: P1.

```
Pr8DyHo5
1.0
8.3790 -0.0752 -2.0232
-4.6314 6.6224 -3.2153
0.7938 0.0762 8.5818
Pr Ho Dy
8 5 1
Direct
0.5350 0.7908 0.8751
0.6502 0.2196 0.3060
0.3526 0.2691 0.4814
0.0863 0.7804 0.4306
0.0841 0.2093 0.7441
0.6976 0.4522 0.9351
0.4828 0.5478 0.2454
0.2123 0.7309 0.0835
0.5926 0.9997 0.5930
0.8694 0.9611 0.2684
0.3073 0.0389 0.9083
0.9610 0.2604 0.0897
0.8294 0.7395 0.7006
0.0893 0.5003 0.5889
```

***

No. 2
## AlZnTc2 (PBE)

Data for AlZnTc2 after structural relaxation.

Properties
For the formation energy, the calculation gives 0.2 eV per formula unit. As for the symmetry: I4/mmm. The value obtained for the relative energy among the computed polymorphs is 263.7 meV/atom.

```
AlZnTc2
1.0
-1.1920 -4.7008 0.3671
2.8816 -2.9307 -2.6001
0.7911 3.5646 3.2127
Tc Al Zn
2 1 1
Direct
0.5000 0.5000 0.0000
0.0000 0.0000 0.0000
0.7500 0.2500 0.5000
0.2500 0.7500 0.5000
```

***

No. 3
## Si3P2Rh (PBE)

Data for Si3P2Rh after structural relaxation.

Properties
As for the symmetry: P6/mmm. The total energy comes out at -5.40 eV per atom.

```
Si3P2Rh
1.0
-6.8334 -3.4174 2.3654
4.2116 -3.2106 -5.9936
1.7110 -1.8889 2.2141
Si P Rh
6 4 2
Direct
0.1653 0.3305 0.5000
0.1652 0.8348 0.5000
0.8348 0.1652 0.5000
0.6695 0.8347 0.5000
0.3305 0.1653 0.5000
0.8347 0.6695 0.5000
0.5000 0.5000 0.0000
0.0000 0.5000 0.0000
0.5000 0.0000 0.0000
0.0000 0.0000 0.0000
0.6667 0.3333 0.5000
0.3333 0.6667 0.5000
```

***

Number 1: calculated volume 486.80 Å³/f.u.. Number 2: calculated volume 57.99 Å³/f.u.. Number 3: calculated volume 93.52 Å³/f.u..